Record 1
# CaMnCl2 (GGA-PBE, relaxed)
# Theoretical density, g cm⁻³: 2.28
# Formation energy (no corrections), eV per atom: -0.90
# SG: P4/mmm, No. 123
data_CaMnCl2
_space_group_name_H-M_alt 'P 1'
_space_group_IT_number 1
_cell_length_a 3.374
_cell_length_b 3.374
_cell_length_c 10.617
_cell_angle_alpha 90.00
_cell_angle_beta 90.00
_cell_angle_gamma 90.00
loop_
_space_group_symop_operation_xyz
'x,y,z'
loop_
_atom_site_label
_atom_site_type_symbol
_atom_site_fract_x
_atom_site_fract_y
_atom_site_fract_z
_atom_site_occupancy
Ca1 Ca 0.500 0.500 0.750 1
Cl1 Cl 0.000 0.000 0.899 1
Cl2 Cl 0.000 0.000 0.601 1
Mn1 Mn 0.500 0.500 0.250 1

***

Record 2
# Sm2ReF (GGA-PBE, relaxed)
# Theoretical density, g cm⁻³: 10.63
# Formation energy (no corrections), eV per atom: -0.41
# SG: R-3m, No. 166
data_Sm2ReF
_space_group_name_H-M_alt 'P 1'
_space_group_IT_number 1
_cell_length_a 3.091
_cell_length_b 3.091
_cell_length_c 9.715
_cell_angle_alpha 80.85
_cell_angle_beta 80.85
_cell_angle_gamma 60.00
loop_
_space_group_symop_operation_xyz
'x,y,z'
loop_
_atom_site_label
_atom_site_type_symbol
_atom_site_fract_x
_atom_site_fract_y
_atom_site_fract_z
_atom_site_occupancy
Sm1 Sm 0.098 0.098 0.707 1
Sm2 Sm 0.902 0.902 0.293 1
Re1 Re 0.000 0.000 0.000 1
F1 F 0.500 0.500 0.500 1

***

Record 3
# Ca2MoPt (GGA-PBE, relaxed)
# Theoretical density, g cm⁻³: 6.86
# SG: Fm-3m, No. 225
# Formation enthalpy at 0 K, eV/atom: 0.28
data_Ca2MoPt
_space_group_name_H-M_alt 'P 1'
_space_group_IT_number 1
_cell_length_a 5.026
_cell_length_b 5.026
_cell_length_c 5.026
_cell_angle_alpha 60.00
_cell_angle_beta 60.00
_cell_angle_gamma 60.00
loop_
_space_group_symop_operation_xyz
'x,y,z'
loop_
_atom_site_label
_atom_site_type_symbol
_atom_site_fract_x
_atom_site_fract_y
_atom_site_fract_z
_atom_site_occupancy
Mo1 Mo 0.000 0.000 0.000 1
Ca1 Ca 0.750 0.750 0.750 1
Ca2 Ca 0.250 0.250 0.250 1
Pt1 Pt 0.500 0.500 0.500 1

***

Record 4
# SrTcW2 (GGA-PBE, relaxed)
# Theoretical density, g cm⁻³: 12.30
# SG: Cmm2, No. 35
# Formation enthalpy at 0 K, eV/atom: 0.73
data_SrTcW2
_space_group_name_H-M_alt 'P 1'
_space_group_IT_number 1
_cell_length_a 2.851
_cell_length_b 2.851
_cell_length_c 9.754
_cell_angle_alpha 90.00
_cell_angle_beta 90.00
_cell_angle_gamma 109.58
loop_
_space_group_symop_operation_xyz
'x,y,z'
loop_
_atom_site_label
_atom_site_type_symbol
_atom_site_fract_x
_atom_site_fract_y
_atom_site_fract_z
_atom_site_occupancy
W1 W 0.500 0.500 0.214 1
W2 W 0.000 0.000 0.995 1
Tc1 Tc 0.500 0.500 0.785 1
Sr1 Sr 0.000 0.000 0.506 1

***

Record 5
# NaNpPb2Se4 (GGA-PBE, relaxed)
# Theoretical density, g cm⁻³: 7.29
# Formation energy (no corrections), eV per atom: -0.83
# SG: P2/m, No. 10
data_NaNpPb2Se4
_space_group_name_H-M_alt 'P 1'
_space_group_IT_number 1
_cell_length_a 4.292
_cell_length_b 7.486
_cell_length_c 7.413
_cell_angle_alpha 71.32
_cell_angle_beta 90.00
_cell_angle_gamma 90.00
loop_
_space_group_symop_operation_xyz
'x,y,z'
loop_
_atom_site_label
_atom_site_type_symbol
_atom_site_fract_x
_atom_site_fract_y
_atom_site_fract_z
_atom_site_occupancy
Na1 Na 0.500 0.500 0.000 1
Np1 Np 0.000 0.500 0.500 1
Se1 Se 0.500 0.270 0.735 1
Se2 Se 0.000 0.737 0.744 1
Se3 Se 0.500 0.730 0.265 1
Se4 Se 0.000 0.263 0.256 1
Pb1 Pb 0.500 0.000 0.500 1
Pb2 Pb 0.000 0.000 0.000 1

***

Record 6
# Pm2Pr5Y4 (GGA-PBE, relaxed)
# Theoretical density, g cm⁻³: 5.66
# SG: Immm, No. 71
# Formation enthalpy at 0 K, eV/atom: 0.19
data_Pm2Pr5Y4
_space_group_name_H-M_alt 'P 1'
_space_group_IT_number 1
_cell_length_a 3.582
_cell_length_b 9.297
_cell_length_c 12.906
_cell_angle_alpha 111.11
_cell_angle_beta 97.98
_cell_angle_gamma 90.00
loop_
_space_group_symop_operation_xyz
'x,y,z'
loop_
_atom_site_label
_atom_site_type_symbol
_atom_site_fract_x
_atom_site_fract_y
_atom_site_fract_z
_atom_site_occupancy
Pm1 Pm 0.268 0.268 0.536 1
Pm2 Pm 0.732 0.732 0.464 1
Y1 Y 0.597 0.597 0.195 1
Y2 Y 0.000 0.314 0.000 1
Y3 Y 0.000 0.686 0.000 1
Y4 Y 0.403 0.403 0.805 1
Pr1 Pr 0.855 0.655 0.709 1
Pr2 Pr 0.145 0.946 0.291 1
Pr3 Pr 0.855 0.054 0.709 1
Pr4 Pr 0.145 0.345 0.291 1
Pr5 Pr 0.500 0.000 0.000 1

***

Table of D(E_F) (states/eV per cell), in record order: 1.17 3.29 2.47 4.05 8.98 17.23
Table of total magnetization (μB/atom), in record order: 1.193 0.000 0.868 0.000 0.500 0.000